# Tm5Ni2Hg2, relaxed, DFT GGA-PBE
data_Tm5Ni2Hg2
_cell_length_a 15.794
_cell_length_b 7.343
_cell_length_c 7.285
_cell_angle_alpha 90.00
_cell_angle_beta 90.00
_cell_angle_gamma 90.00
_space_group_name_H-M_alt 'C m c e'
_space_group_IT_number 64
_space_group_name_Hall '-C 2ac 2'
loop_
_atom_site_label
_atom_site_fract_x
_atom_site_fract_y
_atom_site_fract_z
_atom_site_occupancy
Tm1 0.000 0.000 0.000 1
Tm2 0.121 0.176 0.328 1
Ni1 0.000 0.122 0.622 1
Hg1 0.218 0.000 0.000 1
# formation energy: -0.42 eV/atom

# TmNpOsRu, relaxed, DFT GGA-PBE
data_TmNpOsRu
_cell_length_a 6.733
_cell_length_b 6.733
_cell_length_c 6.733
_cell_angle_alpha 90.00
_cell_angle_beta 90.00
_cell_angle_gamma 90.00
_space_group_name_H-M_alt 'F -4 3 m'
_space_group_IT_number 216
_space_group_name_Hall 'F -4 2 3'
loop_
_atom_site_label
_atom_site_fract_x
_atom_site_fract_y
_atom_site_fract_z
_atom_site_occupancy
Tm1 0.000 0.000 0.000 1
Np1 0.000 0.000 0.500 1
Os1 0.250 0.250 0.250 1
Ru1 0.250 0.250 0.750 1
# formation energy: -0.15 eV/atom

# Pu6In, relaxed, DFT GGA-PBE
data_Pu6In
_cell_length_a 6.701
_cell_length_b 6.701
_cell_length_c 6.701
_cell_angle_alpha 90.00
_cell_angle_beta 90.00
_cell_angle_gamma 90.00
_space_group_name_H-M_alt 'I m -3 m'
_space_group_IT_number 229
_space_group_name_Hall '-I 4 2 3'
loop_
_atom_site_label
_atom_site_fract_x
_atom_site_fract_y
_atom_site_fract_z
_atom_site_occupancy
Pu1 0.000 0.250 0.500 1
In1 0.000 0.000 0.000 1
# formation energy: 0.35 eV/atom

# Cs3Pm2PbS6, relaxed, DFT GGA-PBE
data_Cs3Pm2PbS6
_cell_length_a 7.338
_cell_length_b 12.713
_cell_length_c 8.443
_cell_angle_alpha 90.00
_cell_angle_beta 106.79
_cell_angle_gamma 90.00
_space_group_name_H-M_alt 'C 1 2/m 1'
_space_group_IT_number 12
_space_group_name_Hall '-C 2y'
loop_
_atom_site_label
_atom_site_fract_x
_atom_site_fract_y
_atom_site_fract_z
_atom_site_occupancy
Cs1 0.000 0.000 0.000 1
Cs2 0.000 0.336 0.000 1
Pm1 0.000 0.167 0.500 1
Pb1 0.000 0.500 0.500 1
S1 0.222 0.000 0.687 1
S2 0.233 0.330 0.688 1
# ΔE_f (raw): -1.405 eV per atom

# ReAgTe2, relaxed, DFT GGA-PBE
data_ReAgTe2
_cell_length_a 6.644
_cell_length_b 7.211
_cell_length_c 3.437
_cell_angle_alpha 90.00
_cell_angle_beta 90.00
_cell_angle_gamma 90.00
_space_group_name_H-M_alt 'C m m m'
_space_group_IT_number 65
_space_group_name_Hall '-C 2 2'
loop_
_atom_site_label
_atom_site_fract_x
_atom_site_fract_y
_atom_site_fract_z
_atom_site_occupancy
Re1 0.000 0.000 0.000 1
Ag1 0.000 0.500 0.000 1
Te1 0.250 0.250 0.500 1
# E above lowest polymorph: 495 meV per atom
# ΔE_f (raw): 0.809 eV per atom

# NaLa2Be, relaxed, DFT GGA-PBE
data_NaLa2Be
_cell_length_a 8.592
_cell_length_b 8.592
_cell_length_c 6.549
_cell_angle_alpha 90.00
_cell_angle_beta 90.00
_cell_angle_gamma 90.00
_space_group_name_H-M_alt 'I -4 2 d'
_space_group_IT_number 122
_space_group_name_Hall 'I -4 2bw'
loop_
_atom_site_label
_atom_site_fract_x
_atom_site_fract_y
_atom_site_fract_z
_atom_site_occupancy
Na1 0.000 0.000 0.000 1
La1 0.198 0.250 0.625 1
Be1 0.000 0.000 0.500 1
# formation energy: 0.50 eV/atom

# CdOsBr2, relaxed, DFT GGA-PBE
data_CdOsBr2
_cell_length_a 3.181
_cell_length_b 3.181
_cell_length_c 8.728
_cell_angle_alpha 90.00
_cell_angle_beta 90.00
_cell_angle_gamma 90.00
_space_group_name_H-M_alt 'P 4 m m'
_space_group_IT_number 99
_space_group_name_Hall 'P 4 -2'
loop_
_atom_site_label
_atom_site_fract_x
_atom_site_fract_y
_atom_site_fract_z
_atom_site_occupancy
Cd1 0.000 0.000 0.000 1
Os1 0.500 0.500 0.221 1
Br1 0.000 0.000 0.394 1
Br2 0.500 0.500 0.768 1
# E above lowest polymorph: 374 meV per atom
# ΔE_f (raw): 0.606 eV per atom

# SmTmPd3, relaxed, DFT GGA-PBE
data_SmTmPd3
_cell_length_a 9.015
_cell_length_b 5.781
_cell_length_c 8.338
_cell_angle_alpha 90.00
_cell_angle_beta 101.43
_cell_angle_gamma 90.00
_space_group_name_H-M_alt 'P 1 21/c 1'
_space_group_IT_number 14
_space_group_name_Hall '-P 2ybc'
loop_
_atom_site_label
_atom_site_fract_x
_atom_site_fract_y
_atom_site_fract_z
_atom_site_occupancy
Sm1 0.114 0.090 0.223 1
Tm1 0.441 0.722 0.624 1
Pd1 0.114 0.662 0.033 1
Pd2 0.255 0.541 0.342 1
Pd3 0.345 0.198 0.575 1
# formation energy: -0.83 eV/atom

| no. | calculated total energy (eV per atom) |
| --- | --- |
| 1 | -4.25 |
| 2 | -9.63 |
| 3 | -12.33 |
| 4 | -4.78 |
| 5 | -4.59 |
| 6 | -3.22 |
| 7 | -3.27 |
| 8 | -5.78 |